# AcTe2O7

Crystalline AcTe2O7 at its relaxed geometry (GGA-PBE, Alexandria).

extended XYZ file:
```
10
Lattice="3.271 -5.161 0.000 3.271 5.161 0.000 0.000 0.000 3.955" Properties=species:S:1:pos:R:3 pbc="T T T"
Ac 0.000 0.000 0.000
Te 3.271 2.001 1.978
Te 3.271 -2.001 1.978
O 1.200 1.430 1.978
O 3.271 2.222 0.000
O 1.200 -1.430 1.978
O 3.271 0.000 1.978
O 5.342 1.430 1.978
O 3.271 -2.222 0.000
O 5.342 -1.430 1.978
```

Values from the calculation:
energy relative to the elements, uncorrected: -1471 meV/atom
volume: 134 Å³/cell
DFT total energy: -59.8 eV for the cell shown



# RbPt3C

Crystalline RbPt3C at its relaxed geometry (GGA-PBE, Alexandria).

extended XYZ file:
```
5
Lattice="5.140 0.000 0.000 0.000 5.140 0.000 0.000 0.000 5.140" Properties=species:S:1:pos:R:3 pbc="T T T"
Rb 0.000 0.000 0.000
Pt 0.000 0.000 2.570
Pt 0.000 2.570 0.000
Pt 2.570 0.000 0.000
C 2.570 2.570 2.570
```

Values from the calculation:
volume: 136 Å³/cell
polymorph energy (0 for the lowest one): 2.939 eV/atom
DFT total energy: -10.5 eV for the cell shown
DFT formation energy: 3.57 eV/atom



# BeInIrPt2

Crystalline BeInIrPt2 at its relaxed geometry (GGA-PBE, Alexandria).

extended XYZ file:
```
5
Lattice="4.162 0.000 0.000 0.000 4.162 0.000 0.000 0.000 4.584" Properties=species:S:1:pos:R:3 pbc="T T T"
Be 0.000 0.000 0.000
In 0.000 0.000 2.292
Ir 2.081 2.081 2.292
Pt 0.000 2.081 0.000
Pt 2.081 0.000 0.000
```

Values from the calculation:
volume: 79 Å³/cell
DFT total energy: -25.9 eV for the cell shown
DFT formation energy: 0.30 eV/atom